The following is a DFT calculation (PBE) of a geometry-optimized PmSmPbBr structure.

Results
Volume ... 28.56 A^3/atom
VASP energy ... -0.1643 Ha/atom
Symmetry ... F-43m, No. 216
DOS at the Fermi energy ... 0.947 states/eV per atom
Total moment ... 0.0 μB/f.u.

```
PmSmPbBr
1.0
7.7028 0.0000 0.0000
0.0000 7.7028 0.0000
0.0000 0.0000 7.7028
Pm Sm Pb Br
4 4 4 4
direct
0.0000 0.0000 0.0000
0.0000 0.5000 0.5000
0.5000 0.0000 0.5000
0.5000 0.5000 0.0000
0.0000 0.0000 0.5000
0.0000 0.5000 0.0000
0.5000 0.0000 0.0000
0.5000 0.5000 0.5000
0.2500 0.2500 0.2500
0.2500 0.7500 0.7500
0.7500 0.2500 0.7500
0.7500 0.7500 0.2500
0.2500 0.2500 0.7500
0.2500 0.7500 0.2500
0.7500 0.2500 0.2500
0.7500 0.7500 0.7500
```

The following is a DFT calculation (PBE) of a geometry-optimized Ca4CePa3P8 structure.

Results
Volume ... 23.88 A^3/atom
VASP energy ... -0.2437 Ha/atom
Symmetry ... R-3m, No. 166
DOS at the Fermi energy ... 0.988 states/eV per atom
Total moment ... 1.4 μB/f.u.

```
Ca4CePa3P8
1.0
4.0836 2.3577 6.6142
-4.0836 2.3577 6.6142
0.0000 -4.7154 6.6142
Ca Ce Pa P
4 1 3 8
direct
0.0000 0.0000 0.0000
0.0000 0.5000 0.5000
0.5000 0.0000 0.5000
0.5000 0.5000 0.0000
0.5000 0.5000 0.5000
0.0000 0.0000 0.5000
0.0000 0.5000 0.0000
0.5000 0.0000 0.0000
0.2353 0.7480 0.7480
0.2433 0.2433 0.2433
0.2520 0.2520 0.7647
0.2520 0.7647 0.2520
0.7480 0.2353 0.7480
0.7480 0.7480 0.2353
0.7567 0.7567 0.7567
0.7647 0.2520 0.2520
```

The following is a DFT calculation (PBE) of a geometry-optimized Ba6In2Hg structure.

Results
Volume ... 46.57 A^3/atom
VASP energy ... -0.0804 Ha/atom
Symmetry ... Immm, No. 71
DOS at the Fermi energy ... 1.314 states/eV per atom
Total moment ... 1.0 μB/f.u.

```
Ba6In2Hg
1.0
-5.8636 5.9688 5.9879
5.8636 -5.9688 5.9879
5.8636 5.9688 -5.9879
Ba In Hg
12 4 2
direct
0.0460 0.2147 0.8313
0.2509 0.5812 0.3303
0.2509 0.9205 0.6697
0.2600 0.2968 0.5568
0.2600 0.7032 0.9632
0.3835 0.2147 0.1687
0.6165 0.7853 0.8313
0.7400 0.2968 0.0368
0.7400 0.7032 0.4432
0.7491 0.0795 0.3303
0.7491 0.4188 0.6697
0.9540 0.7853 0.1687
0.0000 0.1365 0.1365
0.0000 0.8635 0.8635
0.3778 0.0000 0.3778
0.6222 0.0000 0.6222
0.0000 0.5000 0.5000
0.5000 0.5000 0.0000
```

The following is a DFT calculation (PBE) of a geometry-optimized TePtPb structure.

Results
Volume ... 27.63 A^3/atom
VASP energy ... -0.1681 Ha/atom
Symmetry ... P3m1, No. 156
DOS at the Fermi energy ... 0.248 states/eV per atom
Total moment ... 0.0 μB/f.u.

```
TePtPb
1.0
4.4447 0.0000 0.0000
-2.2224 3.8492 0.0000
0.0000 0.0000 4.8454
Te Pt Pb
1 1 1
direct
0.0000 0.0000 0.0000
0.3333 0.6667 0.8525
0.6667 0.3333 0.5388
```